GGA-PBE PmNiPd2, optimized geometry; VASP energy = -22.815 eV/cell; density = 9.0 g/cm3
1.0
2.1742 1.2553 4.6759
-2.1742 1.2553 4.6759
0.0000 -2.5105 4.6759
Pm Ni Pd
1 1 2
Direct
0.0000 0.0000 0.0000
0.5000 0.5000 0.5000
0.2102 0.2102 0.2102
0.7898 0.7898 0.7898



GGA-PBE Ac3InGa4, optimized geometry; VASP energy = -30.022 eV/cell; density = 7.2 g/cm3
1.0
-2.4307 3.2614 7.8332
2.4307 -3.2614 7.8332
2.4307 3.2614 -7.8332
Ac In Ga
3 1 4
Direct
0.0000 0.0000 0.0000
0.3093 0.8093 0.5000
0.6907 0.1907 0.5000
0.5000 0.5000 0.0000
0.0760 0.3774 0.6987
0.3213 0.6226 0.6987
0.6787 0.3774 0.3013
0.9240 0.6226 0.3013



Respective Fermi-level density of states values: 3.918; 7.346 states/eV/cell.